Below is an optimized crystal structure of BeB2Sb, with properties calculated at the PBE level.

Unit cell a=4.125 b=4.125 c=4.125 alpha=60.00 beta=60.00 gamma=60.00
Atoms (fractional coordinates):
B  0.750  0.750  0.750
B  0.250  0.250  0.250
Sb  0.500  0.500  0.500
Be  0.000  0.000  0.000

Values from the calculation:
ρ: 5.10 g cm⁻³
Magnetic moment: 0.000 Bohr magnetons per cell
Formation energy from raw total energies: 1577 meV/atom
DOS(E_F): 1.15 states/eV/f.u.